First-principles (GGA-PBE) data for a geometry-optimized La2Sn3Ir4Au structure, as listed in Alexandria via LeMat-Bulk.

Calculated values
As for the symmetry: P-4m2 (115). The electronic total energy is -65.74 eV/cell. The calculation puts the density of states at the Fermi level at 0.497 states/eV per atom. The calculated volume is 21.91 Å³/atom.

abc: 4.375 4.375 11.448
angles: 90.00 90.00 90.00
Positions (direct):
1 La 0.000 0.500 0.243
2 La 0.500 0.000 0.757
3 Sn 0.000 0.000 0.000
4 Sn 0.000 0.500 0.628
5 Sn 0.500 0.000 0.372
6 Ir 0.000 0.000 0.500
7 Ir 0.000 0.500 0.855
8 Ir 0.500 0.000 0.145
9 Ir 0.500 0.500 0.500
10 Au 0.500 0.500 0.000